The following is a DFT calculation (SCAN) of a crystal of BaCdTc relaxed with PBEsol.

Values from the calculation:
* formation enthalpy at 0 K: 0.725 eV per atom
* volume: 24.60 Å³/atom
* symmetry: Imm2 (44)
* theoretical density: 7.8 g/cm3
* M_tot: 0.0 μB/f.u.
* E: -102.85 eV/cell
* crystal system: orthorhombic

a b c (Å): 3.074 4.205 6.276
angles (deg): 109.58 104.17 90.00
Atoms (fractional coordinates):
Ba  0.995  0.995  0.991
Cd  0.711  0.711  0.422
Tc  0.294  0.294  0.588